Compound: CdNiF4
Source: the Alexandria database
Functional: GGA+U
Structure: relaxed

Calculated values
E_tot = -3.938 eV/atom
symmetry = Imma (74)

```
data_CdNiF4
_chemical_formula_sum 'Cd2 Ni2 F8'
_space_group_name_H-M_alt 'P 1'
_space_group_IT_number 1
_cell_length_a 6.5831
_cell_length_b 6.5831
_cell_length_c 6.5831
_cell_angle_alpha 124.79
_cell_angle_beta 114.74
_cell_angle_gamma 90.62
loop_
_space_group_symop_operation_xyz
'x,y,z'
loop_
_atom_site_label
_atom_site_type_symbol
_atom_site_fract_x
_atom_site_fract_y
_atom_site_fract_z
_atom_site_occupancy
Cd1 Cd 0.0000 0.0000 0.0000 1
Cd2 Cd 0.5000 0.0000 0.5000 1
Ni1 Ni 0.5000 0.0000 0.0000 1
Ni2 Ni 0.5000 0.5000 0.5000 1
F1 F 0.2811 0.2617 0.4806 1
F2 F 0.2811 0.8006 0.0194 1
F3 F 0.3022 0.2430 0.0592 1
F4 F 0.3163 0.7570 0.5592 1
F5 F 0.6837 0.2430 0.4408 1
F6 F 0.6978 0.7570 0.9408 1
F7 F 0.7189 0.1994 0.9806 1
F8 F 0.7189 0.7383 0.5194 1
```